# 1
# Be5Se4, optimized geometry, DFT PBE-GGA
# Total moment in μB/atom: 0.00
# Uncorrected formation energy in meV/atom: 136
# Final energy in Ha/atom: -0.12800
data_Be5Se4
_space_group_name_H-M_alt 'P 1'
_space_group_IT_number 1
_cell_length_a 6.770
_cell_length_b 6.770
_cell_length_c 6.848
_cell_angle_alpha 90.00
_cell_angle_beta 90.00
_cell_angle_gamma 120.00
loop_
_space_group_symop_operation_xyz
'x,y,z'
loop_
_atom_site_label
_atom_site_fract_x
_atom_site_fract_y
_atom_site_fract_z
Be1 0.000 0.758 0.250
Be2 0.242 0.242 0.250
Be3 0.758 0.000 0.250
Be4 0.000 0.242 0.750
Be5 0.758 0.758 0.750
Be6 0.242 0.000 0.750
Be7 0.667 0.333 0.000
Be8 0.333 0.667 0.500
Be9 0.333 0.667 0.000
Be10 0.667 0.333 0.500
Se1 0.000 0.000 0.000
Se2 0.000 0.000 0.500
Se3 0.000 0.438 0.250
Se4 0.562 0.562 0.250
Se5 0.438 0.000 0.250
Se6 0.000 0.562 0.750
Se7 0.438 0.438 0.750
Se8 0.562 0.000 0.750

---

# 2
# Cs6Rb10Na, optimized geometry, DFT PBE-GGA
# Total moment in μB/atom: 0.00
# Final energy in Ha/atom: -0.03359
data_Cs6Rb10Na
_space_group_name_H-M_alt 'P 1'
_space_group_IT_number 1
_cell_length_a 9.512
_cell_length_b 14.215
_cell_length_c 14.215
_cell_angle_alpha 120.00
_cell_angle_beta 90.00
_cell_angle_gamma 90.00
loop_
_space_group_symop_operation_xyz
'x,y,z'
loop_
_atom_site_label
_atom_site_fract_x
_atom_site_fract_y
_atom_site_fract_z
Cs1 0.734 0.392 0.392
Cs2 0.734 0.000 0.608
Cs3 0.734 0.608 0.000
Cs4 0.266 0.608 0.608
Cs5 0.266 0.000 0.392
Cs6 0.266 0.392 0.000
Rb1 0.773 0.762 0.762
Rb2 0.773 0.000 0.238
Rb3 0.773 0.238 0.000
Rb4 0.227 0.238 0.238
Rb5 0.227 0.000 0.762
Rb6 0.227 0.762 0.000
Rb7 0.500 0.333 0.667
Rb8 0.500 0.667 0.333
Rb9 0.000 0.667 0.333
Rb10 0.000 0.333 0.667
Na1 0.500 0.000 0.000

---

# 3
# Ho5HPb4, optimized geometry, DFT PBE-GGA
# Total moment in μB/atom: 0.00
# Final energy in Ha/atom: -0.16016
data_Ho5HPb4
_space_group_name_H-M_alt 'P 1'
_space_group_IT_number 1
_cell_length_a 6.223
_cell_length_b 7.460
_cell_length_c 7.460
_cell_angle_alpha 79.98
_cell_angle_beta 65.35
_cell_angle_gamma 65.35
loop_
_space_group_symop_operation_xyz
'x,y,z'
loop_
_atom_site_label
_atom_site_fract_x
_atom_site_fract_y
_atom_site_fract_z
Ho1 0.901 0.378 0.820
Ho2 0.279 0.820 0.622
Ho3 0.721 0.180 0.378
Ho4 0.099 0.622 0.180
Ho5 0.437 0.000 0.000
H1 0.067 0.000 0.000
Pb1 0.412 0.394 0.785
Pb2 0.806 0.785 0.606
Pb3 0.198 0.215 0.394
Pb4 0.591 0.606 0.215

---

# 4
# LiNpCl5, optimized geometry, DFT PBE-GGA
# Total moment in μB/atom: 0.43
# Uncorrected formation energy in meV/atom: -1665
# Final energy in Ha/atom: -0.18765
data_LiNpCl5
_space_group_name_H-M_alt 'P 1'
_space_group_IT_number 1
_cell_length_a 7.208
_cell_length_b 7.208
_cell_length_c 10.360
_cell_angle_alpha 67.69
_cell_angle_beta 67.69
_cell_angle_gamma 88.54
loop_
_space_group_symop_operation_xyz
'x,y,z'
loop_
_atom_site_label
_atom_site_fract_x
_atom_site_fract_y
_atom_site_fract_z
Li1 0.378 0.622 0.250
Li2 0.622 0.378 0.750
Np1 0.000 0.000 0.000
Np2 0.000 0.000 0.500
Cl1 0.743 0.674 0.164
Cl2 0.206 0.713 0.461
Cl3 0.674 0.743 0.664
Cl4 0.922 0.078 0.250
Cl5 0.287 0.794 0.039
Cl6 0.713 0.206 0.961
Cl7 0.078 0.922 0.750
Cl8 0.326 0.257 0.336
Cl9 0.794 0.287 0.539
Cl10 0.257 0.326 0.836

---

# 5
# Li5Ac2Tl5, optimized geometry, DFT PBE-GGA
# Total moment in μB/atom: 0.00
# Final energy in Ha/atom: -0.09902
data_Li5Ac2Tl5
_space_group_name_H-M_alt 'P 1'
_space_group_IT_number 1
_cell_length_a 4.868
_cell_length_b 5.678
_cell_length_c 11.334
_cell_angle_alpha 90.00
_cell_angle_beta 90.00
_cell_angle_gamma 90.00
loop_
_space_group_symop_operation_xyz
'x,y,z'
loop_
_atom_site_label
_atom_site_fract_x
_atom_site_fract_y
_atom_site_fract_z
Li1 0.500 0.500 0.500
Li2 0.500 0.747 0.247
Li3 0.500 0.253 0.753
Li4 0.500 0.253 0.247
Li5 0.500 0.747 0.753
Ac1 0.000 0.500 0.000
Ac2 0.000 0.000 0.500
Tl1 0.000 0.500 0.330
Tl2 0.000 0.000 0.809
Tl3 0.000 0.000 0.191
Tl4 0.000 0.500 0.670
Tl5 0.500 0.000 0.000

---

# 6
# PrErSc2, optimized geometry, DFT PBE-GGA
# Total moment in μB/atom: 0.00
# Final energy in Ha/atom: -0.19916
data_PrErSc2
_space_group_name_H-M_alt 'P 1'
_space_group_IT_number 1
_cell_length_a 5.456
_cell_length_b 5.456
_cell_length_c 5.456
_cell_angle_alpha 60.00
_cell_angle_beta 60.00
_cell_angle_gamma 60.00
loop_
_space_group_symop_operation_xyz
'x,y,z'
loop_
_atom_site_label
_atom_site_fract_x
_atom_site_fract_y
_atom_site_fract_z
Pr1 0.500 0.500 0.500
Sc1 0.250 0.250 0.250
Sc2 0.750 0.750 0.750
Er1 0.000 0.000 0.000

---

# 7
# NaCe2P2N6, optimized geometry, DFT PBE-GGA
# Total moment in μB/atom: 0.10
# Uncorrected formation energy in meV/atom: -807
# Final energy in Ha/atom: -0.27674
data_NaCe2P2N6
_space_group_name_H-M_alt 'P 1'
_space_group_IT_number 1
_cell_length_a 6.366
_cell_length_b 5.799
_cell_length_c 6.217
_cell_angle_alpha 110.28
_cell_angle_beta 79.91
_cell_angle_gamma 64.10
loop_
_space_group_symop_operation_xyz
'x,y,z'
loop_
_atom_site_label
_atom_site_fract_x
_atom_site_fract_y
_atom_site_fract_z
Na1 0.500 0.000 0.500
Ce1 0.827 0.385 0.797
Ce2 0.173 0.615 0.203
P1 0.241 0.707 0.759
P2 0.759 0.293 0.241
N1 0.394 0.738 0.932
N2 0.869 0.489 0.226
N3 0.188 0.868 0.597
N4 0.131 0.511 0.774
N5 0.812 0.132 0.403
N6 0.606 0.262 0.068

---

# 8
# LaTmCoCu, optimized geometry, DFT PBE-GGA
# Total moment in μB/atom: 0.00
# Final energy in Ha/atom: -0.19359
data_LaTmCoCu
_space_group_name_H-M_alt 'P 1'
_space_group_IT_number 1
_cell_length_a 4.902
_cell_length_b 4.902
_cell_length_c 4.902
_cell_angle_alpha 60.00
_cell_angle_beta 60.00
_cell_angle_gamma 60.00
loop_
_space_group_symop_operation_xyz
'x,y,z'
loop_
_atom_site_label
_atom_site_fract_x
_atom_site_fract_y
_atom_site_fract_z
Tm1 0.000 0.000 0.000
Co1 0.750 0.750 0.750
Cu1 0.250 0.250 0.250
La1 0.500 0.500 0.500

---

# 9
# LaRuI2N, optimized geometry, DFT PBE-GGA
# Total moment in μB/atom: 0.66
# Uncorrected formation energy in meV/atom: 546
# Final energy in Ha/atom: -0.16832
data_LaRuI2N
_space_group_name_H-M_alt 'P 1'
_space_group_IT_number 1
_cell_length_a 6.426
_cell_length_b 6.426
_cell_length_c 4.133
_cell_angle_alpha 90.00
_cell_angle_beta 90.00
_cell_angle_gamma 90.00
loop_
_space_group_symop_operation_xyz
'x,y,z'
loop_
_atom_site_label
_atom_site_fract_x
_atom_site_fract_y
_atom_site_fract_z
I1 0.000 0.500 0.000
I2 0.500 0.000 0.000
Ru1 0.500 0.500 0.500
N1 0.000 0.000 0.500
La1 0.000 0.000 0.000

---

# 10
# Pr4AlAsI2, optimized geometry, DFT PBE-GGA
# Total moment in μB/atom: 0.00
# Uncorrected formation energy in meV/atom: -951
# Final energy in Ha/atom: -0.17557
data_Pr4AlAsI2
_space_group_name_H-M_alt 'P 1'
_space_group_IT_number 1
_cell_length_a 4.382
_cell_length_b 7.642
_cell_length_c 8.183
_cell_angle_alpha 108.20
_cell_angle_beta 90.00
_cell_angle_gamma 90.00
loop_
_space_group_symop_operation_xyz
'x,y,z'
loop_
_atom_site_label
_atom_site_fract_x
_atom_site_fract_y
_atom_site_fract_z
Pr1 0.500 0.240 0.209
Pr2 0.500 0.760 0.791
Pr3 0.000 0.268 0.799
Pr4 0.000 0.732 0.201
Al1 0.000 0.000 0.000
As1 0.500 0.500 0.000
I1 0.500 0.000 0.500
I2 0.000 0.500 0.500

---

# 11
# KCrTeRu2, optimized geometry, DFT PBE-GGA
# Total moment in μB/atom: 0.30
# Uncorrected formation energy in meV/atom: 1237
# Final energy in Ha/atom: -0.19279
data_KCrTeRu2
_space_group_name_H-M_alt 'P 1'
_space_group_IT_number 1
_cell_length_a 4.515
_cell_length_b 5.359
_cell_length_c 4.515
_cell_angle_alpha 90.00
_cell_angle_beta 90.00
_cell_angle_gamma 90.00
loop_
_space_group_symop_operation_xyz
'x,y,z'
loop_
_atom_site_label
_atom_site_fract_x
_atom_site_fract_y
_atom_site_fract_z
Ru1 0.000 0.000 0.500
Ru2 0.500 0.000 0.000
K1 0.000 0.500 0.000
Te1 0.500 0.500 0.500
Cr1 0.000 0.000 0.000

---

# 12
# TaTi2Ru2, optimized geometry, DFT PBE-GGA
# Total moment in μB/atom: 0.09
# Final energy in Ha/atom: -0.34606
data_TaTi2Ru2
_space_group_name_H-M_alt 'P 1'
_space_group_IT_number 1
_cell_length_a 7.366
_cell_length_b 7.366
_cell_length_c 2.910
_cell_angle_alpha 90.00
_cell_angle_beta 90.00
_cell_angle_gamma 90.00
loop_
_space_group_symop_operation_xyz
'x,y,z'
loop_
_atom_site_label
_atom_site_fract_x
_atom_site_fract_y
_atom_site_fract_z
Ru1 0.161 0.661 0.500
Ru2 0.661 0.839 0.500
Ru3 0.839 0.339 0.500
Ru4 0.339 0.161 0.500
Ti1 0.358 0.858 0.000
Ti2 0.858 0.642 0.000
Ti3 0.642 0.142 0.000
Ti4 0.142 0.358 0.000
Ta1 0.000 0.000 0.000
Ta2 0.500 0.500 0.000